[1]
CsTbTe4Au3: optimized geometry, GGA-PBE.

Unit cell a=6.564 b=8.158 c=11.460 alpha=90.00 beta=105.30 gamma=90.00
Positions (direct):
Cs 0.236 0.250 0.415
Cs 0.764 0.750 0.585
Tb 0.120 0.250 0.819
Tb 0.880 0.750 0.181
Te 0.049 0.250 0.070
Te 0.186 0.750 0.421
Te 0.379 0.532 0.776
Te 0.379 0.968 0.776
Te 0.621 0.032 0.224
Te 0.621 0.468 0.224
Te 0.814 0.250 0.579
Te 0.951 0.750 0.930
Au 0.301 0.557 0.021
Au 0.301 0.943 0.021
Au 0.401 0.750 0.252
Au 0.599 0.250 0.748
Au 0.699 0.057 0.979
Au 0.699 0.443 0.979

Summary:
**Energy**: -3.673 eV/atom
**Distance to the lowest polymorph of the same formula**: 0.00 eV/f.u.
**Calculated volume**: 32.9 Å³/atom

---

[2]
Be2TcIr: optimized geometry, GGA-PBE.

Unit cell a=5.777 b=5.777 c=5.777 alpha=90.00 beta=90.00 gamma=90.00
Positions (direct):
Be 0.000 0.000 0.000
Be 0.000 0.500 0.500
Be 0.250 0.250 0.250
Be 0.250 0.750 0.750
Be 0.500 0.000 0.500
Be 0.500 0.500 0.000
Be 0.750 0.250 0.750
Be 0.750 0.750 0.250
Tc 0.000 0.000 0.500
Tc 0.000 0.500 0.000
Tc 0.500 0.000 0.000
Tc 0.500 0.500 0.500
Ir 0.250 0.250 0.750
Ir 0.250 0.750 0.250
Ir 0.750 0.250 0.250
Ir 0.750 0.750 0.750

Summary:
**Energy**: -6.715 eV/atom
**Calculated volume**: 12.1 Å³/atom

---

[3]
NaNbAsO: optimized geometry, GGA-PBE.

Unit cell a=3.457 b=7.158 c=6.001 alpha=90.00 beta=90.00 gamma=90.00
Positions (direct):
Na 0.000 0.114 0.000
Na 0.000 0.886 0.500
Nb 0.500 0.495 0.723
Nb 0.500 0.505 0.223
As 0.000 0.292 0.468
As 0.000 0.708 0.968
O 0.500 0.307 0.970
O 0.500 0.693 0.470

Summary:
**Energy**: -6.468 eV/atom
**Distance to the lowest polymorph of the same formula**: 0.00 eV/f.u.
**Calculated volume**: 18.6 Å³/atom

---

[4]
PrAl2Ag2: optimized geometry, GGA-PBE.

Unit cell a=4.318 b=4.318 c=11.312 alpha=90.00 beta=90.00 gamma=90.00
Positions (direct):
Pr 0.000 0.000 0.000
Pr 0.500 0.500 0.500
Al 0.000 0.500 0.250
Al 0.000 0.500 0.750
Al 0.500 0.000 0.250
Al 0.500 0.000 0.750
Ag 0.000 0.000 0.380
Ag 0.000 0.000 0.620
Ag 0.500 0.500 0.120
Ag 0.500 0.500 0.880

Summary:
**Energy**: -3.903 eV/atom
**Distance to the lowest polymorph of the same formula**: 0.15 eV/f.u.
**Calculated volume**: 21.1 Å³/atom

---

[5]
PrNd2Mg3Ir2Pd: optimized geometry, GGA-PBE.

Unit cell a=4.113 b=7.523 c=7.523 alpha=120.06 beta=90.00 gamma=90.00
Positions (direct):
Pr 0.000 0.000 0.000
Nd 0.000 0.418 0.835
Nd 0.000 0.835 0.418
Mg 0.500 0.173 0.418
Mg 0.500 0.418 0.173
Mg 0.500 0.662 0.662
Ir 0.500 0.085 0.749
Ir 0.500 0.749 0.085
Pd 0.000 0.419 0.419

Summary:
**Energy**: -5.272 eV/atom
**Calculated volume**: 22.4 Å³/atom

---

[6]
Hf4MgHgC2: optimized geometry, GGA-PBE.

Unit cell a=3.296 b=3.296 c=15.220 alpha=90.00 beta=90.00 gamma=120.00
Positions (direct):
Hf 0.000 0.000 0.162
Hf 0.000 0.000 0.838
Hf 0.333 0.667 0.325
Hf 0.333 0.667 0.675
Mg 0.000 0.000 0.500
Hg 0.333 0.667 0.000
C 0.667 0.333 0.243
C 0.667 0.333 0.757

Summary:
**Energy**: -8.063 eV/atom
**Calculated volume**: 17.9 Å³/atom

---

[7]
CsSmBe: optimized geometry, GGA-PBE.

Unit cell a=7.361 b=7.361 c=7.361 alpha=90.00 beta=90.00 gamma=90.00
Positions (direct):
Cs 0.000 0.000 0.000
Cs 0.000 0.500 0.500
Cs 0.500 0.000 0.500
Cs 0.500 0.500 0.000
Sm 0.250 0.250 0.750
Sm 0.250 0.750 0.250
Sm 0.750 0.250 0.250
Sm 0.750 0.750 0.750
Be 0.000 0.000 0.500
Be 0.000 0.500 0.000
Be 0.500 0.000 0.000
Be 0.500 0.500 0.500

Summary:
**Energy**: -1.802 eV/atom
**Distance to the lowest polymorph of the same formula**: 0.00 eV/f.u.
**Calculated volume**: 33.2 Å³/atom

---

[8]
YOsNO: optimized geometry, GGA-PBE.

Unit cell a=3.551 b=6.230 c=5.308 alpha=90.00 beta=90.00 gamma=90.00
Positions (direct):
Y 0.000 0.193 0.000
Y 0.000 0.807 0.500
Os 0.500 0.403 0.419
Os 0.500 0.597 0.919
N 0.500 0.322 0.777
N 0.500 0.678 0.277
O 0.000 0.155 0.412
O 0.000 0.845 0.912

Summary:
**Energy**: -8.600 eV/atom
**Distance to the lowest polymorph of the same formula**: 2.26 eV/f.u.
**Calculated volume**: 14.7 Å³/atom

---

[9]
TbTm3Te2C2: optimized geometry, GGA-PBE.

Unit cell a=3.793 b=3.793 c=13.889 alpha=90.00 beta=90.00 gamma=120.00
Positions (direct):
Tb 0.000 0.000 0.000
Tm 0.000 0.000 0.683
Tm 0.667 0.333 0.187
Tm 0.667 0.333 0.500
Te 0.000 0.000 0.344
Te 0.667 0.333 0.839
C 0.333 0.667 0.096
C 0.333 0.667 0.592

Summary:
**Energy**: -6.230 eV/atom
**Calculated volume**: 21.6 Å³/atom

---

[10]
MoH12C5S2Cl4: optimized geometry, GGA-PBE.

Unit cell a=7.121 b=7.486 c=12.910 alpha=77.55 beta=81.74 gamma=72.14
Positions (direct):
Mo 0.240 0.125 0.250
Mo 0.760 0.875 0.750
H 0.003 0.899 0.105
H 0.141 0.688 0.188
H 0.182 0.716 0.045
H 0.234 0.224 0.727
H 0.246 0.867 0.529
H 0.269 0.392 0.613
H 0.300 0.673 0.459
H 0.326 0.233 0.895
H 0.326 0.529 0.747
H 0.429 0.588 0.293
H 0.457 0.389 0.911
H 0.476 0.684 0.546
H 0.524 0.316 0.454
H 0.543 0.611 0.089
H 0.571 0.412 0.707
H 0.674 0.471 0.253
H 0.674 0.767 0.105
H 0.700 0.327 0.541
H 0.731 0.608 0.387
H 0.754 0.133 0.471
H 0.766 0.776 0.273
H 0.818 0.284 0.955
H 0.859 0.312 0.812
H 0.997 0.101 0.895
C 0.147 0.790 0.113
C 0.345 0.289 0.679
C 0.365 0.766 0.489
C 0.431 0.387 0.746
C 0.452 0.288 0.861
C 0.548 0.712 0.139
C 0.569 0.613 0.254
C 0.635 0.234 0.511
C 0.655 0.711 0.321
C 0.853 0.210 0.887
S 0.330 0.913 0.109
S 0.484 0.902 0.383
S 0.516 0.098 0.617
S 0.670 0.087 0.891
Cl 0.023 0.952 0.332
Cl 0.030 0.341 0.126
Cl 0.158 0.345 0.369
Cl 0.459 0.818 0.828
Cl 0.541 0.182 0.172
Cl 0.842 0.655 0.631
Cl 0.970 0.659 0.874
Cl 0.977 0.048 0.668

Summary:
**Energy**: -5.031 eV/atom
**Calculated volume**: 13.3 Å³/atom

---

[11]
Y3Mg3Tl2Ag: optimized geometry, GGA-PBE.

Unit cell a=7.584 b=7.584 c=4.488 alpha=90.00 beta=90.00 gamma=120.00
Positions (direct):
Y 0.000 0.585 0.000
Y 0.415 0.415 0.000
Y 0.585 0.000 0.000
Mg 0.000 0.238 0.500
Mg 0.238 0.000 0.500
Mg 0.762 0.762 0.500
Tl 0.333 0.667 0.500
Tl 0.667 0.333 0.500
Ag 0.000 0.000 0.000

Summary:
**Energy**: -3.869 eV/atom
**Calculated volume**: 24.8 Å³/atom

---

[12]
Hf4Zr2Bi3N3: optimized geometry, GGA-PBE.

Unit cell a=6.031 b=6.031 c=14.094 alpha=102.35 beta=102.35 gamma=59.95
Positions (direct):
Hf 0.019 0.201 0.080
Hf 0.147 0.307 0.420
Hf 0.201 0.019 0.580
Hf 0.307 0.147 0.920
Hf 0.693 0.853 0.080
Hf 0.799 0.981 0.420
Hf 0.853 0.693 0.580
Hf 0.981 0.799 0.920
Zr 0.368 0.528 0.083
Zr 0.472 0.632 0.417
Zr 0.528 0.368 0.583
Zr 0.632 0.472 0.917
Bi 0.080 0.920 0.250
Bi 0.247 0.416 0.748
Bi 0.416 0.247 0.248
Bi 0.584 0.753 0.752
Bi 0.753 0.584 0.252
Bi 0.920 0.080 0.750
N 0.000 0.500 0.000
N 0.147 0.676 0.500
N 0.324 0.853 0.000
N 0.500 0.000 0.500
N 0.676 0.147 0.000
N 0.853 0.324 0.500

Summary:
**Energy**: -8.700 eV/atom
**Calculated volume**: 17.9 Å³/atom

---

[13]
BaLuGe2: optimized geometry, GGA-PBE.

Unit cell a=7.472 b=7.472 c=7.472 alpha=90.00 beta=90.00 gamma=90.00
Positions (direct):
Ba 0.000 0.000 0.000
Ba 0.000 0.500 0.500
Ba 0.500 0.000 0.500
Ba 0.500 0.500 0.000
Lu 0.250 0.250 0.250
Lu 0.250 0.750 0.750
Lu 0.750 0.250 0.750
Lu 0.750 0.750 0.250
Ge 0.000 0.000 0.500
Ge 0.000 0.500 0.000
Ge 0.250 0.250 0.750
Ge 0.250 0.750 0.250
Ge 0.500 0.000 0.000
Ge 0.500 0.500 0.500
Ge 0.750 0.250 0.250
Ge 0.750 0.750 0.750

Summary:
**Energy**: -3.785 eV/atom
**Calculated volume**: 26.1 Å³/atom

---

[14]
ErHgSO: optimized geometry, GGA-PBE.

Unit cell a=5.532 b=5.539 c=13.129 alpha=90.00 beta=91.35 gamma=90.00
Positions (direct):
Er 0.002 0.000 0.081
Er 0.496 0.001 0.917
Er 0.504 0.501 0.083
Er 0.998 0.500 0.919
Hg 0.139 0.273 0.497
Hg 0.499 0.015 0.264
Hg 0.501 0.515 0.736
Hg 0.861 0.773 0.503
S 0.199 0.313 0.236
S 0.204 0.217 0.761
S 0.796 0.717 0.239
S 0.801 0.813 0.764
O 0.250 0.750 0.000
O 0.253 0.249 0.000
O 0.747 0.749 0.000
O 0.750 0.250 0.000

Summary:
**Energy**: -5.357 eV/atom
**Distance to the lowest polymorph of the same formula**: 0.00 eV/f.u.
**Calculated volume**: 25.1 Å³/atom

---

[15]
YFeTcSn: optimized geometry, GGA-PBE.

Unit cell a=6.730 b=6.730 c=6.730 alpha=90.00 beta=90.00 gamma=90.00
Positions (direct):
Y 0.000 0.000 0.000
Y 0.000 0.500 0.500
Y 0.500 0.000 0.500
Y 0.500 0.500 0.000
Fe 0.000 0.000 0.500
Fe 0.000 0.500 0.000
Fe 0.500 0.000 0.000
Fe 0.500 0.500 0.500
Tc 0.250 0.250 0.750
Tc 0.250 0.750 0.250
Tc 0.750 0.250 0.250
Tc 0.750 0.750 0.750
Sn 0.250 0.250 0.250
Sn 0.250 0.750 0.750
Sn 0.750 0.250 0.750
Sn 0.750 0.750 0.250

Summary:
**Energy**: -7.022 eV/atom
**Distance to the lowest polymorph of the same formula**: 0.77 eV/f.u.
**Calculated volume**: 19.0 Å³/atom

---

[16]
TbTlNiTe3: optimized geometry, GGA-PBE.

Unit cell a=12.580 b=4.254 c=12.739 alpha=90.00 beta=90.00 gamma=90.00
Positions (direct):
Tb 0.038 0.250 0.192
Tb 0.462 0.750 0.692
Tb 0.538 0.250 0.308
Tb 0.962 0.750 0.808
Tl 0.196 0.250 0.498
Tl 0.304 0.750 0.998
Tl 0.696 0.250 0.002
Tl 0.804 0.750 0.502
Ni 0.233 0.750 0.317
Ni 0.267 0.250 0.817
Ni 0.733 0.750 0.183
Ni 0.767 0.250 0.683
Te 0.036 0.750 0.363
Te 0.097 0.250 0.935
Te 0.214 0.750 0.721
Te 0.286 0.250 0.221
Te 0.403 0.750 0.435
Te 0.464 0.250 0.863
Te 0.536 0.750 0.137
Te 0.597 0.250 0.565
Te 0.714 0.750 0.779
Te 0.786 0.250 0.279
Te 0.903 0.750 0.065
Te 0.964 0.250 0.637

Summary:
**Energy**: -4.301 eV/atom
**Distance to the lowest polymorph of the same formula**: 0.29 eV/f.u.
**Calculated volume**: 28.4 Å³/atom

---

[17]
SrBeTlAu: optimized geometry, GGA-PBE.

Unit cell a=7.099 b=7.099 c=7.099 alpha=90.00 beta=90.00 gamma=90.00
Positions (direct):
Sr 0.000 0.000 0.000
Sr 0.000 0.500 0.500
Sr 0.500 0.000 0.500
Sr 0.500 0.500 0.000
Be 0.250 0.250 0.250
Be 0.250 0.750 0.750
Be 0.750 0.250 0.750
Be 0.750 0.750 0.250
Tl 0.250 0.250 0.750
Tl 0.250 0.750 0.250
Tl 0.750 0.250 0.250
Tl 0.750 0.750 0.750
Au 0.000 0.000 0.500
Au 0.000 0.500 0.000
Au 0.500 0.000 0.000
Au 0.500 0.500 0.500

Summary:
**Energy**: -2.633 eV/atom
**Distance to the lowest polymorph of the same formula**: 0.26 eV/f.u.
**Calculated volume**: 22.4 Å³/atom

---

[18]
LiCuTe2OsSe: optimized geometry, GGA-PBE.

Unit cell a=6.875 b=6.875 c=9.716 alpha=90.00 beta=90.00 gamma=147.53
Positions (direct):
Li 0.246 0.754 0.750
Li 0.754 0.246 0.250
Cu 0.031 0.969 0.250
Cu 0.969 0.031 0.750
Te 0.142 0.858 0.036
Te 0.142 0.858 0.464
Te 0.858 0.142 0.536
Te 0.858 0.142 0.964
Os 0.500 0.500 0.000
Os 0.500 0.500 0.500
Se 0.420 0.580 0.250
Se 0.580 0.420 0.750

Summary:
**Energy**: -4.508 eV/atom
**Calculated volume**: 20.5 Å³/atom

---

[19]
TlFeTcIr: optimized geometry, GGA-PBE.

Unit cell a=6.342 b=6.342 c=6.342 alpha=90.00 beta=90.00 gamma=90.00
Positions (direct):
Tl 0.000 0.000 0.000
Tl 0.000 0.500 0.500
Tl 0.500 0.000 0.500
Tl 0.500 0.500 0.000
Fe 0.250 0.250 0.250
Fe 0.250 0.750 0.750
Fe 0.750 0.250 0.750
Fe 0.750 0.750 0.250
Tc 0.000 0.000 0.500
Tc 0.000 0.500 0.000
Tc 0.500 0.000 0.000
Tc 0.500 0.500 0.500
Ir 0.250 0.250 0.750
Ir 0.250 0.750 0.250
Ir 0.750 0.250 0.250
Ir 0.750 0.750 0.750

Summary:
**Energy**: -6.904 eV/atom
**Distance to the lowest polymorph of the same formula**: 0.00 eV/f.u.
**Calculated volume**: 15.9 Å³/atom

---

[20]
TlIr2Au: optimized geometry, GGA-PBE.

Unit cell a=6.529 b=6.529 c=6.529 alpha=90.00 beta=90.00 gamma=90.00
Positions (direct):
Tl 0.000 0.000 0.000
Tl 0.000 0.500 0.500
Tl 0.500 0.000 0.500
Tl 0.500 0.500 0.000
Ir 0.000 0.000 0.500
Ir 0.000 0.500 0.000
Ir 0.250 0.250 0.750
Ir 0.250 0.750 0.250
Ir 0.500 0.000 0.000
Ir 0.500 0.500 0.500
Ir 0.750 0.250 0.250
Ir 0.750 0.750 0.750
Au 0.250 0.250 0.250
Au 0.250 0.750 0.750
Au 0.750 0.250 0.750
Au 0.750 0.750 0.250

Summary:
**Energy**: -5.186 eV/atom
**Calculated volume**: 17.4 Å³/atom

---

[21]
TlAu2: optimized geometry, GGA-PBE.

Unit cell a=5.678 b=5.678 c=5.678 alpha=60.00 beta=60.00 gamma=60.00
Positions (direct):
Tl 0.125 0.125 0.125
Tl 0.875 0.875 0.875
Au 0.000 0.500 0.500
Au 0.500 0.000 0.500
Au 0.500 0.500 0.000
Au 0.500 0.500 0.500

Summary:
**Energy**: -2.959 eV/atom
**Distance to the lowest polymorph of the same formula**: 0.00 eV/f.u.
**Calculated volume**: 21.6 Å³/atom